LiSn6Pd2 | SCAN | single point on PBEsol structure

Lattice parameters (Å, degrees): 6.621 6.621 8.658 90.00 90.00 90.00
Space group P4/mbm (No. 127)
Symmetry-distinct sites (fractional):
Li  0.000  0.000  0.000
Sn  0.160  0.340  0.180
Sn  0.162  0.662  0.500
Pd  0.000  0.000  0.324

calculated formation energy = -277.0 meV per atom
DOS(E_F) = 0.408 states/eV/atom
E = -31.77 eV/atom

=====

Li3SnPd | SCAN | single point on PBEsol structure

Lattice parameters (Å, degrees): 4.875 4.875 4.875 90.00 90.00 90.00
Space group Pm-3m (No. 221)
Symmetry-distinct sites (fractional):
Li  0.000  0.000  0.500
Sn  0.000  0.000  0.000
Pd  0.500  0.500  0.500

calculated formation energy = 431.6 meV per atom
DOS(E_F) = 0.381 states/eV/atom
E = -14.74 eV/atom

=====

SrLiPd3 | SCAN | single point on PBEsol structure

Lattice parameters (Å, degrees): 5.159 5.159 5.159 90.00 90.00 90.00
Space group Pm-3m (No. 221)
Symmetry-distinct sites (fractional):
Sr  0.000  0.000  0.000
Li  0.500  0.500  0.500
Pd  0.000  0.000  0.500

calculated formation energy = 815.7 meV per atom
DOS(E_F) = 0.375 states/eV/atom
E = -23.78 eV/atom

=====

Sr2LiTlPd | SCAN | single point on PBEsol structure

Lattice parameters (Å, degrees): 5.612 5.612 4.684 90.00 90.00 90.00
Space group P4/mmm (No. 123)
Symmetry-distinct sites (fractional):
Sr  0.000  0.500  0.000
Li  0.000  0.000  0.000
Tl  0.000  0.000  0.500
Pd  0.500  0.500  0.500

calculated formation energy = 95.1 meV per atom
DOS(E_F) = 0.630 states/eV/atom
E = -30.32 eV/atom